# 1
Entry from Alexandria: Cs2Rb3Sn2 after structural relaxation (PBE).

Geometry as POSCAR:
```
Cs2Rb3Sn2
1.0
7.366 -3.373 0.000
7.366 3.373 0.000
-4.922 0.000 8.495
Cs Rb Sn
2 3 2
Cartesian
0.839 0.000 2.594
8.972 0.000 5.901
4.965 0.000 0.312
4.905 0.000 4.248
4.846 0.000 8.184
-1.843 0.000 5.614
11.653 0.000 2.881
```

Calculated values
Its space group is C2/m. The formation energy comes out at -0.06 eV per atom.

# 2
Entry from Alexandria: LiNd2TmTl4 after structural relaxation (PBE).

Geometry as POSCAR:
```
LiNd2TmTl4
1.0
2.655 1.533 8.959
-2.655 1.533 8.959
0.000 -3.066 8.959
Li Nd Tm Tl
1 2 1 4
Cartesian
0.000 0.000 0.000
0.000 0.000 6.868
0.000 0.000 20.009
0.000 0.000 13.438
0.000 0.000 3.357
0.000 0.000 10.063
0.000 0.000 16.814
0.000 0.000 23.520
```

Calculated values
Its space group is R-3m. The formation energy comes out at -0.33 eV per atom.

# 3
Entry from Alexandria: PuPaRuN4 after structural relaxation (PBE).

Geometry as POSCAR:
```
PuPaRuN4
1.0
-1.951 1.951 5.905
1.951 -1.951 5.905
1.951 1.951 -5.905
Pu Pa Ru N
1 1 1 4
Cartesian
0.000 0.000 0.000
0.000 0.000 8.514
0.000 0.000 4.196
0.000 0.000 2.121
1.951 0.000 4.145
0.000 0.000 6.395
0.000 1.951 4.145
```

Calculated values
Its space group is I4mm.

# 4
Entry from Alexandria: MgCr2Pt after structural relaxation (PBE).

Geometry as POSCAR:
```
MgCr2Pt
1.0
4.852 -1.451 0.000
4.852 1.451 0.000
-1.150 0.000 4.248
Mg Cr Pt
1 2 1
Cartesian
0.000 0.000 0.000
1.529 0.000 2.858
7.026 0.000 1.390
4.277 0.000 2.124
```

Calculated values
Its space group is C2/m. The formation energy comes out at 0.05 eV per atom.

# 5
Entry from Alexandria: Ca4HN after structural relaxation (PBE).

Geometry as POSCAR:
```
Ca4HN
1.0
6.010 -2.500 0.000
6.010 2.500 0.000
-5.074 0.000 9.682
Ca H N
8 2 2
Cartesian
-0.739 0.000 3.782
-3.526 0.000 9.206
2.663 0.000 2.920
0.284 0.000 7.848
6.663 0.000 1.834
4.284 0.000 6.762
10.473 0.000 0.476
7.685 0.000 5.900
-2.123 0.000 7.129
9.069 0.000 2.553
0.577 0.000 1.795
6.370 0.000 7.887
```

Calculated values
The distance to the lowest polymorph of the same formula is 0 meV/atom. Its space group is C2/m.

# 6
Entry from Alexandria: Er2GePb after structural relaxation (PBE).

Geometry as POSCAR:
```
Er2GePb
1.0
1.992 1.150 8.203
-1.992 1.150 8.203
0.000 -2.301 8.203
Er Ge Pb
2 1 1
Cartesian
0.000 0.000 0.000
0.000 0.000 4.963
0.000 0.000 14.768
0.000 0.000 18.897
```

Calculated values
Its space group is R3m. The formation energy comes out at -0.52 eV per atom.

# 7
Entry from Alexandria: Cs2TiTeSe after structural relaxation (PBE).

Geometry as POSCAR:
```
Cs2TiTeSe
1.0
6.965 0.000 0.000
0.000 6.965 0.000
0.000 0.000 4.896
Cs Ti Te Se
2 1 1 1
Cartesian
0.000 3.483 0.000
3.483 0.000 0.000
0.000 0.000 2.448
3.483 3.483 2.448
0.000 0.000 0.000
```

Calculated values
Its space group is P4/mmm.

# 8
Entry from Alexandria: MoAsPt2I after structural relaxation (PBE).

Geometry as POSCAR:
```
MoAsPt2I
1.0
4.652 0.000 0.000
0.000 4.652 0.000
0.000 0.000 5.829
Mo As Pt I
1 1 2 1
Cartesian
0.000 0.000 0.000
2.326 2.326 2.914
0.000 2.326 2.914
2.326 0.000 2.914
2.326 2.326 0.000
```

Calculated values
Its space group is P4/mmm.

# 9
Entry from Alexandria: Nd6Er3Tm2 after structural relaxation (PBE).

Geometry as POSCAR:
```
Nd6Er3Tm2
1.0
6.118 0.000 0.000
2.940 6.088 0.000
0.180 0.101 9.839
Nd Er Tm
6 3 2
Cartesian
1.807 2.415 3.135
2.135 1.476 9.375
4.067 5.195 2.222
5.171 0.994 7.617
7.103 4.713 0.464
7.431 3.774 6.704
4.257 4.230 8.538
4.619 3.094 4.919
4.980 1.959 1.300
1.900 0.338 5.927
7.338 5.850 3.912
```

Calculated values
Its space group is P-1. The formation energy comes out at 0.08 eV per atom.

# 10
Entry from Alexandria: Sm3Dy2Zn2 after structural relaxation (PBE).

Geometry as POSCAR:
```
Sm3Dy2Zn2
1.0
6.463 -1.864 0.000
6.463 1.864 0.000
-3.978 0.000 8.261
Sm Dy Zn
3 2 2
Cartesian
0.000 0.000 0.000
-0.336 0.000 3.625
9.284 0.000 4.636
3.770 0.000 1.532
5.179 0.000 6.729
1.045 0.000 6.412
7.903 0.000 1.849
```

Calculated values
The distance to the lowest polymorph of the same formula is 0 meV/atom. Its space group is C2/m. The formation energy comes out at -0.13 eV per atom.

# 11
Entry from Alexandria: Ce6SbSe3S2 after structural relaxation (PBE).

Geometry as POSCAR:
```
Ce6SbSe3S2
1.0
9.143 -2.095 0.000
9.143 2.095 0.000
-1.944 0.000 8.195
Ce Sb Se S
6 1 3 2
Cartesian
-0.391 0.000 2.183
4.230 0.000 7.388
5.213 0.000 3.484
11.129 0.000 4.711
12.112 0.000 0.807
16.733 0.000 6.012
9.143 0.000 0.000
1.345 0.000 6.813
8.171 0.000 4.098
14.997 0.000 1.382
2.438 0.000 2.755
13.903 0.000 5.440
```

Calculated values
Its space group is C2/m.

# 12
Entry from Alexandria: Ag2PtAu after structural relaxation (PBE).

Geometry as POSCAR:
```
Ag2PtAu
1.0
1.475 -2.394 0.000
1.475 2.394 0.000
0.000 0.000 9.800
Ag Pt Au
2 1 1
Cartesian
0.000 0.000 2.402
0.000 0.000 7.398
1.475 0.000 0.000
1.475 0.000 4.900
```

Calculated values
The distance to the lowest polymorph of the same formula is 30 meV/atom. Its space group is Cmmm. The formation energy comes out at 0.01 eV per atom.

# 13
Entry from Alexandria: Ac2Ga3Pd12Pt after structural relaxation (PBE).

Geometry as POSCAR:
```
Ac2Ga3Pd12Pt
1.0
4.195 2.422 6.218
-4.195 2.422 6.218
0.000 -4.844 6.218
Ac Ga Pd Pt
2 3 12 1
Cartesian
0.000 0.000 2.145
0.000 0.000 16.510
-2.098 -1.211 6.218
-2.098 1.211 12.437
0.000 2.422 6.218
-2.170 -1.253 8.652
0.000 -2.277 5.452
-1.972 1.139 5.452
0.000 -2.506 10.003
-2.170 1.253 10.003
-1.972 -1.139 13.203
1.972 1.139 5.452
2.170 -1.253 8.652
0.000 2.506 8.652
1.972 -1.139 13.203
0.000 2.277 13.203
2.170 1.253 10.003
0.000 0.000 9.328
```

Calculated values
Its space group is R-3m. The formation energy comes out at -0.25 eV per atom.

# 14
Entry from Alexandria: Hf2TaH6 after structural relaxation (PBE).

Geometry as POSCAR:
```
Hf2TaH6
1.0
5.289 -2.211 0.000
5.289 2.211 0.000
-1.073 0.000 3.202
Hf Ta H
2 1 6
Cartesian
1.558 0.000 0.524
7.947 0.000 2.677
4.752 0.000 1.601
3.197 1.080 1.077
5.289 1.045 0.000
6.307 1.080 2.125
3.197 -1.080 1.077
5.289 -1.045 0.000
6.307 -1.080 2.125
```

Calculated values
Its space group is C2/m.

# 15
Entry from Alexandria: ZrMn2FeAu after structural relaxation (PBE).

Geometry as POSCAR:
```
ZrMn2FeAu
1.0
4.249 0.000 0.000
0.000 4.249 0.000
0.000 0.000 4.830
Zr Mn Fe Au
1 2 1 1
Cartesian
0.000 0.000 0.000
0.000 2.125 2.415
2.125 0.000 2.415
2.125 2.125 2.415
2.125 2.125 0.000
```

Calculated values
Its space group is P4/mmm. The formation energy comes out at 0.64 eV per atom.

# 16
Entry from Alexandria: Y6Tl5Ir after structural relaxation (PBE).

Geometry as POSCAR:
```
Y6Tl5Ir
1.0
-2.650 3.782 7.875
2.650 -3.782 7.875
2.650 3.782 -7.875
Y Tl Ir
6 5 1
Cartesian
2.650 1.748 -2.413
0.000 1.696 0.000
2.650 1.748 2.413
0.000 2.033 5.463
0.000 5.868 0.000
0.000 2.033 10.288
0.000 0.000 2.874
2.650 0.000 5.287
0.000 0.000 7.875
0.000 3.782 2.588
0.000 0.000 12.876
2.650 0.000 0.000
```

Calculated values
Its space group is Immm. The formation energy comes out at -0.43 eV per atom.

# 17
Entry from Alexandria: Pr3RhAu2 after structural relaxation (PBE).

Geometry as POSCAR:
```
Pr3RhAu2
1.0
12.431 0.000 0.000
0.000 4.590 0.000
0.000 0.000 11.174
Pr Rh Au
12 4 8
Cartesian
0.631 1.148 1.362
1.393 3.443 6.225
2.993 1.148 8.839
3.222 3.443 3.252
4.822 1.148 0.638
5.585 3.443 6.949
6.846 1.148 4.225
7.609 3.443 10.537
9.208 1.148 7.922
9.438 3.443 2.335
11.038 1.148 4.950
11.800 3.443 9.812
1.521 1.148 4.104
4.694 3.443 9.691
7.737 1.148 1.483
10.910 3.443 7.070
0.050 1.148 7.833
2.372 3.443 0.067
3.844 1.148 5.654
6.166 3.443 2.246
6.265 1.148 8.928
8.587 3.443 5.521
10.059 1.148 11.108
12.381 3.443 3.341
```

Calculated values
The distance to the lowest polymorph of the same formula is 0 meV/atom. Its space group is Pnma. The formation energy comes out at -0.69 eV per atom.

| no. | mass density (kg/m³) | size of the total moment (Bohr magnetons per cell) | raw total energy (eV/atom) |
| --- | --- | --- | --- |
| 1 | 2988 | 1.085 | -1.858 |
| 2 | 9729 | 0.000 | -3.507 |
| 3 | 11677 | 4.341 | -10.256 |
| 4 | 8975 | 0.000 | -6.673 |
| 5 | 2001 | 0.000 | -3.765 |
| 6 | 9045 | 0.000 | -4.880 |
| 7 | 3637 | 2.164 | -3.637 |
| 8 | 9056 | 4.034 | -4.773 |
| 9 | 7727 | 0.000 | -4.578 |
| 10 | 7564 | 0.000 | -3.836 |
| 11 | 6683 | 5.359 | -6.598 |
| 12 | 14579 | 0.000 | -3.744 |
| 13 | 9353 | 0.000 | -5.011 |
| 14 | 12065 | 0.000 | -6.131 |
| 15 | 8644 | 3.581 | -7.081 |
| 16 | 9191 | 0.000 | -5.390 |
| 17 | 9579 | 0.000 | -5.398 |